Entry 1:
# Y2ScMo, relaxed, DFT PBE
data_Y2ScMo
_chemical_formula_sum 'Y4 Sc2 Mo2'
_symmetry_space_group_name_H-M 'P 1'
_symmetry_Int_Tables_number 1
_cell_length_a 8.1498
_cell_length_b 8.1498
_cell_length_c 6.5389
_cell_angle_alpha 51.45
_cell_angle_beta 51.45
_cell_angle_gamma 90.00
loop_
_symmetry_equiv_pos_as_xyz
'x,y,z'
loop_
_atom_site_label
_atom_site_type_symbol
_atom_site_fract_x
_atom_site_fract_y
_atom_site_fract_z
Y1 Y 0.6600 0.1250 0.2500
Y2 Y 0.0900 0.6250 0.2500
Y3 Y 0.3750 0.3400 0.7500
Y4 Y 0.8750 0.9100 0.7500
Sc1 Sc 0.5000 0.5000 0.0000
Sc2 Sc 0.2500 0.7500 0.5000
Mo1 Mo 0.0000 0.0000 0.0000
Mo2 Mo 0.7500 0.2500 0.5000
# ΔE to the lowest computed polymorph	0.4911	eV per atom
# magnetic moment	0.000	μB/atom
# crystal system	tetragonal
# ΔE_f	0.67	eV per atom
# E	-54.8	eV for the cell shown

***

Entry 2:
# Y2ScMo, relaxed, DFT PBE
data_Y2ScMo
_chemical_formula_sum 'Y2 Sc1 Mo1'
_symmetry_space_group_name_H-M 'P 1'
_symmetry_Int_Tables_number 1
_cell_length_a 5.4791
_cell_length_b 5.4791
_cell_length_c 5.4791
_cell_angle_alpha 129.38
_cell_angle_beta 129.38
_cell_angle_gamma 74.40
loop_
_symmetry_equiv_pos_as_xyz
'x,y,z'
loop_
_atom_site_label
_atom_site_type_symbol
_atom_site_fract_x
_atom_site_fract_y
_atom_site_fract_z
Mo1 Mo 0.5000 0.5000 0.0000
Sc1 Sc 0.7500 0.2500 0.5000
Y1 Y 0.0000 0.0000 0.0000
Y2 Y 0.2500 0.7500 0.5000
# ΔE to the lowest computed polymorph	0.1476	eV per atom
# magnetic moment	0.000	μB/atom
# crystal system	tetragonal
# ΔE_f	0.33	eV per atom
# E	-28.8	eV for the cell shown